[1]
First-principles (PBE) data for a relaxed SrAg3Ge crystal, as listed in the Alexandria database.

Calculated values
The space group is No. 221. For the formation energy, the calculation gives 1.140 eV/atom.

Geometry as POSCAR:
```
SrAg3Ge
1.0
5.599 0.000 0.000
0.000 5.599 0.000
0.000 0.000 5.599
Sr Ag Ge
1 3 1
direct
0.000 0.000 0.000
0.500 0.000 0.000
0.000 0.000 0.500
0.000 0.500 0.000
0.500 0.500 0.500
```

=====

[2]
First-principles (PBE) data for a relaxed Nd2DyOsN4 crystal, as listed in the Alexandria database.

Calculated values
Its uncorrected formation energy is -0.77 eV per atom. The space group is No. 63.

Geometry as POSCAR:
```
Nd2DyOsN4
1.0
-3.115 1.467 -0.128
-0.884 -5.728 2.238
1.511 4.197 11.340
Dy N Nd Os
2 8 4 2
direct
0.130 0.260 0.750
0.870 0.740 0.250
0.274 0.548 0.140
0.562 0.125 0.250
0.000 0.000 0.500
0.438 0.875 0.750
0.726 0.452 0.640
0.000 0.000 0.000
0.274 0.548 0.360
0.726 0.452 0.860
0.368 0.735 0.959
0.632 0.265 0.459
0.368 0.735 0.541
0.632 0.265 0.041
0.858 0.716 0.750
0.142 0.284 0.250
```

=====

[3]
First-principles (PBE) data for a relaxed SrTaIn2 crystal, as listed in the Alexandria database.

Calculated values
The space group is No. 12. For the formation energy, the calculation gives 0.280 eV/atom.

Geometry as POSCAR:
```
SrTaIn2
1.0
-4.015 0.834 3.090
-3.937 -2.300 2.361
3.227 -1.277 5.832
In Sr Ta
2 1 1
direct
0.993 0.993 0.052
0.507 0.507 0.448
0.750 0.750 0.750
0.250 0.250 0.250
```

=====

One value per record, in order, for VASP energy: -1.83, -8.11, -4.47 eV per atom.